Er2MgTl2W4O16: relaxed, PBE with a Hubbard U.

Cell lengths 7.4983, 7.4664, 7.9781 Å; angles 87.55, 117.59, 117.73 degrees
Last column: nearest neighbours and their distance in Å.
Element x y z (fractional)
O: 0.4463 0.7811 0.6097  2 W 2.00-2.12, 1 Mg 2.08
O: 0.0416 0.3774 0.5866  2 W 2.02-2.12
O: 0.5555 0.6067 0.3884  2 W 2.09-2.12
O: 0.3111 0.9754 0.7706  1 W 1.84
O: 0.9732 0.6459 0.4126  2 W 1.98-2.14
O: 0.8885 0.9786 0.6671  1 Mg 1.99, 1 W 1.99
O: 0.9515 0.6224 0.7500  2 W 2.01-2.03
O: 0.7952 0.7559 0.9481  1 W 1.86
O: 0.6931 0.0199 0.2599  1 W 1.98, 1 Mg 2.03
O: 0.0715 0.3763 0.2559  2 W 1.96-2.04
O: 0.3772 0.6327 0.9148  1 W 1.88
O: 0.2260 0.2557 0.0649  1 W 1.85
O: 0.4453 0.3837 0.6183  2 W 2.07-2.08
O: 0.1049 0.0295 0.3262  1 W 1.82
O: 0.5584 0.2248 0.3911  1 Mg 2.03, 2 W 2.03-2.10
O: 0.6302 0.3777 0.0746  1 W 1.87
Tl: 0.1717 0.7451 0.1224  3 O 2.54-2.80, 1 Mg 2.84
Tl: 0.7775 0.2325 0.8545  8 O 2.80-3.10, 1 Mg 3.03
Er: 0.7356 0.7576 0.2014  6 O 2.23-2.37
Er: 0.2530 0.2455 0.7962  6 O 2.24-2.38
W: 0.8075 0.3210 0.3039  4 O 1.87-2.04
W: 0.6995 0.6920 0.6868  5 O 1.86-2.09
W: 0.2059 0.7007 0.6887  5 O 1.84-2.01
W: 0.3012 0.2899 0.3214  4 O 1.82-2.03
Mg: 0.6036 0.9804 0.4690  4 O 1.99-2.08

Uncorrected energy, eV per atom: -7.18
Total magnetization, μB per cell: 2.0
Symmetry: P1 (1)
Calculated volume, Å³ per cell: 342